(1)
Below is a relaxed Cs3BaTl crystal, with properties calculated at the PBE level.

Properties
**Formation enthalpy at 0 K**: 202 meV/atom
**Total moment**: 0.00 Bohr magnetons per cell
**Energy**: -5.84 eV/cell

Unit cell a=7.549 b=7.549 c=7.549 alpha=90.00 beta=90.00 gamma=90.00
Sites, in units of the cell vectors:
Cs (0.000, 0.500, 0.000)
Cs (0.000, 0.000, 0.500)
Cs (0.500, 0.000, 0.000)
Tl (0.000, 0.000, 0.000)
Ba (0.500, 0.500, 0.500)



(2)
Below is a relaxed TlTePb2 crystal, with properties calculated at the PBE level.

Properties
**Polymorph energy (0 for the lowest one)**: 105 meV/atom
**Total moment**: 0.00 Bohr magnetons per cell
**Energy**: -12.90 eV/cell
**E_form (uncorrected)**: 0.7 kJ/mol of atoms

Unit cell a=5.593 b=5.593 c=5.593 alpha=60.00 beta=60.00 gamma=60.00
Sites, in units of the cell vectors:
Pb (0.250, 0.250, 0.250)
Pb (0.750, 0.750, 0.750)
Tl (0.500, 0.500, 0.500)
Te (0.000, 0.000, 0.000)



(3)
Below is a relaxed Pm2Cu3Sn2 crystal, with properties calculated at the PBE level.

Properties
**Formation enthalpy at 0 K**: -227 meV/atom
**Total moment**: 0.00 Bohr magnetons per cell
**Energy**: -62.76 eV/cell

Unit cell a=7.468 b=7.468 c=7.468 alpha=109.47 beta=109.47 gamma=109.47
Sites, in units of the cell vectors:
Pm (0.000, 0.000, 0.512)
Pm (0.500, 0.512, 0.500)
Pm (0.488, 0.988, 0.988)
Pm (0.012, 0.500, 0.000)
Cu (0.782, 0.750, 0.032)
Cu (0.718, 0.250, 0.468)
Cu (0.968, 0.218, 0.250)
Cu (0.532, 0.282, 0.750)
Cu (0.250, 0.032, 0.282)
Cu (0.750, 0.468, 0.218)
Sn (0.000, 0.000, 0.925)
Sn (0.500, 0.925, 0.500)
Sn (0.075, 0.575, 0.575)
Sn (0.425, 0.500, 0.000)



(4)
Below is a relaxed BaNb3Al crystal, with properties calculated at the PBE level.

Properties
**Formation enthalpy at 0 K**: 2468 meV/atom
**Polymorph energy (0 for the lowest one)**: 1241 meV/atom
**Total moment**: 0.00 Bohr magnetons per cell
**Energy**: -23.53 eV/cell

Unit cell a=5.055 b=5.055 c=5.055 alpha=90.00 beta=90.00 gamma=90.00
Sites, in units of the cell vectors:
Nb (0.000, 0.500, 0.000)
Nb (0.000, 0.000, 0.500)
Nb (0.500, 0.000, 0.000)
Ba (0.000, 0.000, 0.000)
Al (0.500, 0.500, 0.500)